The following is a DFT calculation (PBE-GGA) of crystalline RbNbPb at its relaxed geometry.

abc: 5.160 5.160 5.160
angles: 60.00 60.00 60.00
Fractional positions:
Rb1 0.000 0.000 0.000
Nb1 0.750 0.750 0.750
Pb1 0.500 0.500 0.500

Results
VASP energy, eV per cell: -11.12
Mass density, kg/m3: 6590
SG: No. 216
Polymorph energy (0 for the lowest one), eV per atom: 0.000